Run P
# Ag3TeO

Ag3TeO after structural relaxation (PBE, Alexandria via LeMat-Bulk).

abc: 5.294 5.294 5.294
angles: 90.00 90.00 90.00
Site moments in Bohr magnetons follow the coordinates.
Sites, in units of the cell vectors:
Te: 0.000 0.000 0.000  0.01
O: 0.500 0.500 0.500  -0.90
Ag: 0.000 0.500 0.000  0.01
Ag: 0.000 0.000 0.500  0.02
Ag: 0.500 0.000 0.000  -0.01

Calculated values
Calculated density ... 5.228 g cm⁻³
Space group ... No. 221
Crystal system ... cubic

Run Q
# Ag3TeO

Ag3TeO after structural relaxation (PBE, Alexandria via LeMat-Bulk).

abc: 4.583 4.583 4.583
angles: 90.00 90.00 90.00
Sites, in units of the cell vectors:
Te: 0.500 0.500 0.500
O: 0.000 0.000 0.000
Ag: 0.000 0.500 0.000
Ag: 0.000 0.000 0.500
Ag: 0.500 0.000 0.000

Calculated values
Calculated density ... 8.060 g cm⁻³
Space group ... No. 221
Crystal system ... cubic

It is run Q that is most stable; the runner-up trails by 63.0 kJ/mol of atoms.

Run P
# AgTe3O

AgTe3O after structural relaxation (PBE, Alexandria via LeMat-Bulk).

abc: 5.346 5.346 5.346
angles: 90.00 90.00 90.00
Sites, in units of the cell vectors:
Te: 0.000 0.500 0.000
Te: 0.000 0.000 0.500
Te: 0.500 0.000 0.000
O: 0.500 0.500 0.500
Ag: 0.000 0.000 0.000

Calculated values
Calculated density ... 5.507 g cm⁻³
Space group ... No. 221
Crystal system ... cubic

Run Q
# AgTe3O

AgTe3O after structural relaxation (PBE, Alexandria via LeMat-Bulk).

abc: 4.853 4.853 4.853
angles: 90.00 90.00 90.00
Sites, in units of the cell vectors:
Te: 0.000 0.500 0.000
Te: 0.000 0.000 0.500
Te: 0.500 0.000 0.000
O: 0.000 0.000 0.000
Ag: 0.500 0.500 0.500

Calculated values
Calculated density ... 7.362 g cm⁻³
Space group ... No. 221
Crystal system ... cubic

It is run Q that is most stable; the runner-up trails by 85.2 kJ/mol of atoms.